1.
Compound: MgP2ClF
Source: the Alexandria database
Functional: PBE
Structure: optimized geometry

Structure (CIF):
```
data_MgP2ClF
_chemical_formula_sum 'Mg1 P2 Cl1 F1'
_cell_length_a 4.0765
_cell_length_b 4.0765
_cell_length_c 5.6553
_cell_angle_alpha 90.00
_cell_angle_beta 90.00
_cell_angle_gamma 90.00
_symmetry_space_group_name_H-M 'P 4/m m m'
_symmetry_Int_Tables_number 123
_symmetry_space_group_name_Hall '-P 4 2'
loop_
_atom_site_label
_atom_site_type_symbol
_atom_site_fract_x
_atom_site_fract_y
_atom_site_fract_z
Mg1 Mg 0.0000 0.0000 0.0000
P1 P 0.0000 0.5000 0.5000
Cl1 Cl 0.5000 0.5000 0.0000
F1 F 0.5000 0.5000 0.5000
```

Results
- E_form (uncorrected): 0.026 eV per atom

2.
Compound: YZrAg2
Source: the Alexandria database
Functional: PBE
Structure: optimized geometry

Structure (CIF):
```
data_YZrAg2
_chemical_formula_sum 'Y2 Zr2 Ag4'
_cell_length_a 3.5235
_cell_length_b 4.8884
_cell_length_c 10.3347
_cell_angle_alpha 90.00
_cell_angle_beta 90.00
_cell_angle_gamma 90.00
_symmetry_space_group_name_H-M 'I m m 2'
_symmetry_Int_Tables_number 44
_symmetry_space_group_name_Hall 'I 2 -2'
loop_
_atom_site_label
_atom_site_type_symbol
_atom_site_fract_x
_atom_site_fract_y
_atom_site_fract_z
Y1 Y 0.0000 0.0000 0.0000
Zr1 Zr 0.0000 0.5000 0.7689
Ag1 Ag 0.0000 0.0000 0.5154
Ag2 Ag 0.0000 0.5000 0.2368
```

Results
- Energy relative to the elements: -13 meV/atom

3.
Compound: Zr2NpIn
Source: the Alexandria database
Functional: PBE
Structure: optimized geometry

Structure (CIF):
```
data_Zr2NpIn
_chemical_formula_sum 'Zr2 Np1 In1'
_cell_length_a 3.5274
_cell_length_b 3.5274
_cell_length_c 7.3531
_cell_angle_alpha 90.00
_cell_angle_beta 90.00
_cell_angle_gamma 90.00
_symmetry_space_group_name_H-M 'P 4/m m m'
_symmetry_Int_Tables_number 123
_symmetry_space_group_name_Hall '-P 4 2'
loop_
_atom_site_label
_atom_site_type_symbol
_atom_site_fract_x
_atom_site_fract_y
_atom_site_fract_z
Zr1 Zr 0.0000 0.0000 0.2482
Np1 Np 0.5000 0.5000 0.0000
In1 In 0.5000 0.5000 0.5000
```

Results
- Energy relative to the elements: 117 meV/atom

4.
Compound: KMoP2
Source: the Alexandria database
Functional: PBE
Structure: optimized geometry

Structure (CIF):
```
data_KMoP2
_chemical_formula_sum 'K2 Mo2 P4'
_cell_length_a 3.1007
_cell_length_b 3.4407
_cell_length_c 15.5870
_cell_angle_alpha 90.00
_cell_angle_beta 90.00
_cell_angle_gamma 90.00
_symmetry_space_group_name_H-M 'I m m 2'
_symmetry_Int_Tables_number 44
_symmetry_space_group_name_Hall 'I 2 -2'
loop_
_atom_site_label
_atom_site_type_symbol
_atom_site_fract_x
_atom_site_fract_y
_atom_site_fract_z
K1 K 0.0000 0.0000 0.0000
Mo1 Mo 0.0000 0.5000 0.7419
P1 P 0.0000 0.0000 0.3580
P2 P 0.0000 0.5000 0.1772
```

Results
- Energy relative to the elements: -228 meV/atom

5.
Compound: Dy2CdAu6
Source: the Alexandria database
Functional: PBE
Structure: optimized geometry

Structure (CIF):
```
data_Dy2CdAu6
_chemical_formula_sum 'Dy4 Cd2 Au12'
_cell_length_a 5.2181
_cell_length_b 15.8338
_cell_length_c 5.2012
_cell_angle_alpha 90.00
_cell_angle_beta 119.86
_cell_angle_gamma 90.00
_symmetry_space_group_name_H-M 'C 1 2/m 1'
_symmetry_Int_Tables_number 12
_symmetry_space_group_name_Hall '-C 2y'
loop_
_atom_site_label
_atom_site_type_symbol
_atom_site_fract_x
_atom_site_fract_y
_atom_site_fract_z
Dy1 Dy 0.0000 0.1602 0.0000
Cd1 Cd 0.0000 0.0000 0.5000
Au1 Au 0.1546 0.5000 0.8219
Au2 Au 0.1644 0.3294 0.3265
```

Results
- Energy relative to the elements: -595 meV/atom

6.
Compound: LiTaS3
Source: the Alexandria database
Functional: PBE
Structure: optimized geometry

Structure (CIF):
```
data_LiTaS3
_chemical_formula_sum 'Li2 Ta2 S6'
_cell_length_a 6.4387
_cell_length_b 6.4387
_cell_length_c 5.9946
_cell_angle_alpha 90.00
_cell_angle_beta 90.00
_cell_angle_gamma 120.00
_symmetry_space_group_name_H-M 'P -6 c 2'
_symmetry_Int_Tables_number 188
_symmetry_space_group_name_Hall 'P -6c 2'
loop_
_atom_site_label
_atom_site_type_symbol
_atom_site_fract_x
_atom_site_fract_y
_atom_site_fract_z
Li1 Li 0.0000 0.0000 0.0000
Ta1 Ta 0.6667 0.3333 0.0000
S1 S 0.3516 0.0424 0.2500
```

Results
- E_form (uncorrected): -0.963 eV per atom

7.
Compound: Mg3BO4
Source: the Alexandria database
Functional: PBE
Structure: optimized geometry

Structure (CIF):
```
data_Mg3BO4
_chemical_formula_sum 'Mg3 B1 O4'
_cell_length_a 4.1817
_cell_length_b 4.1817
_cell_length_c 4.1817
_cell_angle_alpha 90.00
_cell_angle_beta 90.00
_cell_angle_gamma 90.00
_symmetry_space_group_name_H-M 'P m -3 m'
_symmetry_Int_Tables_number 221
_symmetry_space_group_name_Hall '-P 4 2 3'
loop_
_atom_site_label
_atom_site_type_symbol
_atom_site_fract_x
_atom_site_fract_y
_atom_site_fract_z
Mg1 Mg 0.0000 0.0000 0.5000
B1 B 0.5000 0.5000 0.5000
O1 O 0.0000 0.0000 0.0000
O2 O 0.0000 0.5000 0.5000
```

Results
- E_form (uncorrected): -1.837 eV per atom

8.
Compound: PdRhF2
Source: the Alexandria database
Functional: PBE
Structure: optimized geometry

Structure (CIF):
```
data_PdRhF2
_chemical_formula_sum 'Pd3 Rh3 F6'
_cell_length_a 2.7913
_cell_length_b 2.7913
_cell_length_c 23.3809
_cell_angle_alpha 90.00
_cell_angle_beta 90.00
_cell_angle_gamma 120.00
_symmetry_space_group_name_H-M 'R -3 m'
_symmetry_Int_Tables_number 166
_symmetry_space_group_name_Hall '-R 3 2"'
loop_
_atom_site_label
_atom_site_type_symbol
_atom_site_fract_x
_atom_site_fract_y
_atom_site_fract_z
Pd1 Pd 0.0000 0.0000 0.0000
Rh1 Rh 0.0000 0.0000 0.5000
F1 F 0.0000 0.0000 0.0870
```

Results
- E_form (uncorrected): -0.510 eV per atom